Record 1
Compound: ZnAgH
Source: Alexandria
Functional: GGA-PBE
Structure: relaxed

Computed properties:
Symmetry: I4mm, No. 107
V: 15.08 A^3/atom
E above lowest polymorph: 315 meV per atom
Electronic total energy: -0.075 hartree per atom

Lattice parameters (Å, degrees): 3.828 3.828 4.105 117.79 117.79 90.00
Atoms (fractional coordinates):
1 H 0.951 0.951 0.902
2 Zn 0.233 0.233 0.467
3 Ag 0.665 0.665 0.331



Record 2
Compound: Zn2AgH2
Source: Alexandria
Functional: GGA-PBE
Structure: relaxed

Computed properties:
Symmetry: P4/mbm, No. 127
V: 12.03 A^3/atom
E above lowest polymorph: 0 meV per atom
Electronic total energy: -0.079 hartree per atom

Lattice parameters (Å, degrees): 5.183 5.183 4.479 90.00 90.00 90.00
Atoms (fractional coordinates):
1 H 0.209 0.709 0.000
2 H 0.709 0.791 0.000
3 H 0.791 0.291 0.000
4 H 0.291 0.209 0.000
5 Zn 0.178 0.678 0.500
6 Zn 0.678 0.822 0.500
7 Zn 0.822 0.322 0.500
8 Zn 0.322 0.178 0.500
9 Ag 0.000 0.000 0.000
10 Ag 0.500 0.500 0.000



Record 3
Compound: ZnAg3H
Source: Alexandria
Functional: GGA-PBE
Structure: relaxed

Computed properties:
Symmetry: Pm-3m, No. 221
V: 24.06 A^3/atom
E above lowest polymorph: 811 meV per atom
Electronic total energy: -0.061 hartree per atom

Lattice parameters (Å, degrees): 4.937 4.937 4.937 90.00 90.00 90.00
Each line ends with the local moment (μB).
Atoms (fractional coordinates):
1 H 0.500 0.500 0.500  0.31
2 Zn 0.000 0.000 0.000  0.01
3 Ag 0.000 0.500 0.000  0.02
4 Ag 0.000 0.000 0.500  0.02
5 Ag 0.500 0.000 0.000  0.06



Record 4
Compound: ZnAg3H
Source: Alexandria
Functional: GGA-PBE
Structure: relaxed

Computed properties:
Symmetry: Pm-3m, No. 221
V: 14.40 A^3/atom
E above lowest polymorph: 0 meV per atom
Electronic total energy: -0.090 hartree per atom

Lattice parameters (Å, degrees): 4.160 4.160 4.160 90.00 90.00 90.00
Atoms (fractional coordinates):
1 H 0.000 0.000 0.000
2 Zn 0.500 0.500 0.500
3 Ag 0.000 0.500 0.000
4 Ag 0.000 0.000 0.500
5 Ag 0.500 0.000 0.000



Record 5
Compound: ZnAgH
Source: Alexandria
Functional: GGA-PBE
Structure: relaxed

Computed properties:
Symmetry: P-1, No. 2
V: 18.56 A^3/atom
E above lowest polymorph: 0 meV per atom
Electronic total energy: -0.086 hartree per atom

Lattice parameters (Å, degrees): 2.759 4.334 9.555 102.68 87.47 90.00
Atoms (fractional coordinates):
1 H 0.017 0.480 0.460
2 H 0.983 0.520 0.540
3 Zn 0.728 0.844 0.195
4 Zn 0.272 0.156 0.805
5 Ag 0.761 0.696 0.888
6 Ag 0.239 0.304 0.112



Record 6
Compound: ZnAg2H2
Source: Alexandria
Functional: GGA-PBE
Structure: relaxed

Computed properties:
Symmetry: I4/mmm, No. 139
V: 11.98 A^3/atom
E above lowest polymorph: 104 meV per atom
Electronic total energy: -0.087 hartree per atom

Lattice parameters (Å, degrees): 3.275 3.275 6.047 74.29 74.29 90.00
Atoms (fractional coordinates):
1 H 0.750 0.250 0.500
2 H 0.250 0.750 0.500
3 Zn 0.000 0.000 0.000
4 Ag 0.357 0.357 0.287
5 Ag 0.643 0.643 0.713



Record 7
Compound: Zn2Ag2H
Source: Alexandria
Functional: GGA-PBE
Structure: relaxed

Computed properties:
Symmetry: P4/mbm, No. 127
V: 14.57 A^3/atom
E above lowest polymorph: 42 meV per atom
Electronic total energy: -0.077 hartree per atom

Lattice parameters (Å, degrees): 5.507 5.507 4.805 90.00 90.00 90.00
Atoms (fractional coordinates):
1 H 0.000 0.000 0.000
2 H 0.500 0.500 0.000
3 Zn 0.332 0.832 0.000
4 Zn 0.832 0.668 0.000
5 Zn 0.668 0.168 0.000
6 Zn 0.168 0.332 0.000
7 Ag 0.172 0.672 0.500
8 Ag 0.672 0.828 0.500
9 Ag 0.828 0.328 0.500
10 Ag 0.328 0.172 0.500



Record 8
Compound: Zn2Ag2H
Source: Alexandria
Functional: GGA-PBE
Structure: relaxed

Computed properties:
Symmetry: P4/mbm, No. 127
V: 14.65 A^3/atom
E above lowest polymorph: 0 meV per atom
Electronic total energy: -0.078 hartree per atom

Lattice parameters (Å, degrees): 5.612 5.612 4.652 90.00 90.00 90.00
Atoms (fractional coordinates):
1 H 0.000 0.000 0.000
2 H 0.500 0.500 0.000
3 Zn 0.158 0.658 0.500
4 Zn 0.658 0.842 0.500
5 Zn 0.842 0.342 0.500
6 Zn 0.342 0.158 0.500
7 Ag 0.324 0.824 0.000
8 Ag 0.824 0.676 0.000
9 Ag 0.676 0.176 0.000
10 Ag 0.176 0.324 0.000



Record 9
Compound: ZnAg2H2
Source: Alexandria
Functional: GGA-PBE
Structure: relaxed

Computed properties:
Symmetry: P4/mbm, No. 127
V: 12.34 A^3/atom
E above lowest polymorph: 0 meV per atom
Electronic total energy: -0.091 hartree per atom

Lattice parameters (Å, degrees): 5.586 5.586 3.953 90.00 90.00 90.00
Atoms (fractional coordinates):
1 H 0.302 0.802 0.000
2 H 0.802 0.698 0.000
3 H 0.698 0.198 0.000
4 H 0.198 0.302 0.000
5 Zn 0.000 0.000 0.000
6 Zn 0.500 0.500 0.000
7 Ag 0.309 0.809 0.500
8 Ag 0.809 0.691 0.500
9 Ag 0.691 0.191 0.500
10 Ag 0.191 0.309 0.500



Record 10
Compound: ZnAgH
Source: Alexandria
Functional: GGA-PBE
Structure: relaxed

Computed properties:
Symmetry: P3m1, No. 156
V: 12.24 A^3/atom
E above lowest polymorph: 120 meV per atom
Electronic total energy: -0.082 hartree per atom

Lattice parameters (Å, degrees): 4.566 3.047 3.047 120.00 90.00 90.00
Atoms (fractional coordinates):
1 H 0.015 0.000 0.000
2 Zn 0.261 0.333 0.667
3 Ag 0.723 0.667 0.333



Record 11
Compound: ZrAgH
Source: Alexandria
Functional: GGA-PBE
Structure: relaxed

Computed properties:
Symmetry: P-1, No. 2
V: 14.23 A^3/atom
E above lowest polymorph: 0 meV per atom
Electronic total energy: -0.190 hartree per atom

Lattice parameters (Å, degrees): 3.369 5.163 6.474 88.85 90.07 130.66
Atoms (fractional coordinates):
1 H 0.524 0.273 0.027
2 H 0.476 0.727 0.973
3 Zr 0.985 0.234 0.850
4 Zr 0.015 0.766 0.150
5 Ag 0.005 0.255 0.392
6 Ag 0.995 0.745 0.608



Record 12
Compound: Zr2AgH
Source: Alexandria
Functional: GGA-PBE
Structure: relaxed

Computed properties:
Symmetry: Fm-3m, No. 225
V: 17.75 A^3/atom
E above lowest polymorph: 414 meV per atom
Electronic total energy: -0.202 hartree per atom

Lattice parameters (Å, degrees): 4.648 4.648 4.648 60.00 60.00 60.00
Atoms (fractional coordinates):
1 H 0.000 0.000 0.000
2 Zr 0.250 0.250 0.250
3 Zr 0.750 0.750 0.750
4 Ag 0.500 0.500 0.500